Compound: CuSi2Os
Source: Alexandria
Functional: PBE
Structure: relaxed

```
CuSi2Os
1.0
0.0000 2.9665 2.9665
2.9665 0.0000 2.9665
2.9665 2.9665 0.0000
Si Os Cu
2 1 1
Direct
0.2500 0.2500 0.2500
0.7500 0.7500 0.7500
0.5000 0.5000 0.5000
0.0000 0.0000 0.0000
```

Results
Its volume is 52 Å³ per cell. The raw total energy comes out at -6.449 eV per atom. As for the space-group type: Fm-3m (225).

=====

Compound: Cu3SiOs
Source: Alexandria
Functional: PBE
Structure: relaxed

```
Cu3SiOs
1.0
-0.7269 1.8739 -3.7344
2.6176 -2.7502 -1.8895
-3.2566 -2.6288 -0.6852
Si Os Cu
1 1 3
Direct
0.0000 0.0000 0.0000
0.5000 0.5000 0.5000
0.0000 0.5000 0.0000
0.0000 0.0000 0.5000
0.5000 0.0000 0.0000
```

Results
Its volume is 76 Å³ per cell. The raw total energy comes out at -4.653 eV per atom. As for the space-group type: Pm-3m (221).

=====

It is found that the uncorrected formation energy values, taken in the order of the records, are 94.0, 1135.4 meV/atom.